# 1
RbNi3Ag: optimized geometry, GGA-PBEsol.

Properties
SG   No. 221
E_form   209.5 kJ/mol of atoms

Cell lengths 4.504, 4.504, 4.504 Å; angles 90.00, 90.00, 90.00 degrees
Fractional coordinates of all 5 atoms:
Rb: 0.000 0.000 0.000
Ni: 0.000 0.000 0.500
Ni: 0.000 0.500 0.000
Ni: 0.500 0.000 0.000
Ag: 0.500 0.500 0.500

# 2
RbYNi2Ag: optimized geometry, GGA-PBEsol.

Properties
SG   No. 123
E_form   144.4 kJ/mol of atoms

Cell lengths 4.639, 4.639, 5.401 Å; angles 90.00, 90.00, 90.00 degrees
Fractional coordinates of all 5 atoms:
Rb: 0.000 0.000 0.000
Y: 0.500 0.500 0.500
Ni: 0.000 0.500 0.000
Ni: 0.500 0.000 0.000
Ag: 0.000 0.000 0.500

# 3
Re2NiAg: optimized geometry, GGA-PBEsol.

Properties
SG   No. 119
E_form   39.8 kJ/mol of atoms

Cell lengths 4.614, 4.614, 4.614 Å; angles 130.50, 130.50, 72.60 degrees
Fractional coordinates of all 4 atoms:
Re: 0.000 0.000 0.000
Re: 0.750 0.250 0.500
Ni: 0.500 0.500 0.000
Ag: 0.250 0.750 0.500

# 4
ReNiAg2: optimized geometry, GGA-PBEsol.

Properties
Energy relative to the lowest polymorph listed for this composition   194 meV per atom
SG   No. 139
E_form   73.6 kJ/mol of atoms

Cell lengths 4.942, 4.942, 4.942 Å; angles 135.58, 135.58, 64.62 degrees
Fractional coordinates of all 4 atoms:
Re: 0.000 0.000 0.000
Ni: 0.500 0.500 0.000
Ag: 0.250 0.750 0.500
Ag: 0.750 0.250 0.500

# 5
ReNi2Ag: optimized geometry, GGA-PBEsol.

Properties
Energy relative to the lowest polymorph listed for this composition   37 meV per atom
SG   No. 65
E_form   29.8 kJ/mol of atoms

Cell lengths 4.531, 4.531, 2.606 Å; angles 90.00, 90.00, 106.15 degrees
Fractional coordinates of all 4 atoms:
Re: 0.000 0.000 0.000
Ni: 0.000 0.500 0.500
Ni: 0.500 0.000 0.500
Ag: 0.500 0.500 0.000

# 6
ReNi2Ag: optimized geometry, GGA-PBEsol.

Properties
Energy relative to the lowest polymorph listed for this composition   0 meV per atom
SG   No. 160
E_form   26.2 kJ/mol of atoms

Cell lengths 8.717, 8.717, 8.717 Å; angles 17.54, 17.54, 17.54 degrees
Fractional coordinates of all 4 atoms:
Re: 0.000 0.000 0.000
Ni: 0.256 0.256 0.256
Ni: 0.514 0.514 0.514
Ag: 0.763 0.763 0.763

# 7
ReNi2Ag: optimized geometry, GGA-PBEsol.

Properties
Energy relative to the lowest polymorph listed for this composition   251 meV per atom
SG   No. 71
E_form   50.4 kJ/mol of atoms

Cell lengths 5.031, 5.031, 5.031 Å; angles 148.73, 125.66, 64.04 degrees
Fractional coordinates of all 4 atoms:
Re: 0.000 0.000 0.000
Ni: 0.241 0.741 0.500
Ni: 0.759 0.259 0.500
Ag: 0.500 0.500 0.000

# 8
ReNiAg2: optimized geometry, GGA-PBEsol.

Properties
Energy relative to the lowest polymorph listed for this composition   0 meV per atom
SG   No. 44
E_form   54.8 kJ/mol of atoms

Cell lengths 5.436, 5.436, 5.436 Å; angles 151.49, 128.96, 59.50 degrees
Fractional coordinates of all 4 atoms:
Re: 0.000 0.000 0.000
Ni: 0.789 0.289 0.500
Ag: 0.273 0.773 0.500
Ag: 0.550 0.550 0.000

# 9
NiAgRh2: optimized geometry, GGA-PBEsol.

Properties
Energy relative to the lowest polymorph listed for this composition   0 meV per atom
SG   No. 71
E_form   22.6 kJ/mol of atoms

Cell lengths 5.241, 5.241, 5.241 Å; angles 150.11, 129.98, 59.37 degrees
Fractional coordinates of all 4 atoms:
Ni: 0.000 0.000 0.000
Ag: 0.500 0.500 0.000
Rh: 0.225 0.725 0.500
Rh: 0.775 0.275 0.500

# 10
NiAgRh2: optimized geometry, GGA-PBEsol.

Properties
Energy relative to the lowest polymorph listed for this composition   58 meV per atom
SG   No. 139
E_form   28.2 kJ/mol of atoms

Cell lengths 4.691, 4.691, 4.691 Å; angles 133.03, 133.03, 68.61 degrees
Fractional coordinates of all 4 atoms:
Ni: 0.000 0.000 0.000
Ag: 0.500 0.500 0.000
Rh: 0.250 0.750 0.500
Rh: 0.750 0.250 0.500

# 11
NiAgRu2: optimized geometry, GGA-PBEsol.

Properties
SG   No. 119
E_form   41.3 kJ/mol of atoms

Cell lengths 4.612, 4.612, 4.612 Å; angles 131.95, 131.95, 70.31 degrees
Fractional coordinates of all 4 atoms:
Ni: 0.000 0.000 0.000
Ag: 0.250 0.750 0.500
Ru: 0.500 0.500 0.000
Ru: 0.750 0.250 0.500

# 12
NiAgRu: optimized geometry, GGA-PBEsol.

Properties
Energy relative to the lowest polymorph listed for this composition   290 meV per atom
SG   No. 216
E_form   80.8 kJ/mol of atoms

Cell lengths 4.015, 4.015, 4.015 Å; angles 60.00, 60.00, 60.00 degrees
Fractional coordinates of all 3 atoms:
Ni: 0.000 0.000 0.000
Ag: 0.250 0.250 0.250
Ru: 0.750 0.750 0.750

# 13
NiAgRu: optimized geometry, GGA-PBEsol.

Properties
Energy relative to the lowest polymorph listed for this composition   0 meV per atom
SG   No. 156
E_form   52.8 kJ/mol of atoms

Cell lengths 4.298, 4.298, 2.551 Å; angles 90.00, 90.00, 120.00 degrees
Fractional coordinates of all 3 atoms:
Ni: 0.000 0.000 0.000
Ag: 0.333 0.667 0.860
Ru: 0.667 0.333 0.404

# 14
Ni2AgRu: optimized geometry, GGA-PBEsol.

Properties
Energy relative to the lowest polymorph listed for this composition   0 meV per atom
SG   No. 47
E_form   24.1 kJ/mol of atoms

Cell lengths 2.627, 3.521, 5.507 Å; angles 90.00, 90.00, 90.00 degrees
Fractional coordinates of all 4 atoms:
Ni: 0.000 0.000 0.221
Ni: 0.000 0.000 0.779
Ag: 0.500 0.500 0.500
Ru: 0.500 0.500 0.000

# 15
Ni2AgRu: optimized geometry, GGA-PBEsol.

Properties
Energy relative to the lowest polymorph listed for this composition   309 meV per atom
SG   No. 216
E_form   53.9 kJ/mol of atoms

Cell lengths 4.186, 4.186, 4.186 Å; angles 60.00, 60.00, 60.00 degrees
Fractional coordinates of all 4 atoms:
Ni: 0.000 0.000 0.000
Ni: 0.250 0.250 0.250
Ag: 0.500 0.500 0.500
Ru: 0.750 0.750 0.750

# 16
NiAgSb2: optimized geometry, GGA-PBEsol.

Properties
E_form (uncorrected)   0.39 eV per formula unit
Energy relative to the lowest polymorph listed for this composition   0 meV per atom
SG   No. 65

Cell lengths 3.145, 3.145, 7.720 Å; angles 90.00, 90.00, 90.28 degrees
Fractional coordinates of all 4 atoms:
Ni: 0.000 0.000 0.000
Ag: 0.000 0.000 0.500
Sb: 0.500 0.500 0.215
Sb: 0.500 0.500 0.785

# 17
NiAg2Sb: optimized geometry, GGA-PBEsol.

Properties
E_form (uncorrected)   1.44 eV per formula unit
SG   No. 166

Cell lengths 9.131, 9.131, 9.131 Å; angles 18.96, 18.96, 18.96 degrees
Fractional coordinates of all 4 atoms:
Ni: 0.000 0.000 0.000
Ag: 0.260 0.260 0.260
Ag: 0.740 0.740 0.740
Sb: 0.500 0.500 0.500

# 18
NiAg2Sb: optimized geometry, GGA-PBEsol.

Properties
E_form (uncorrected)   0.35 eV per formula unit
SG   No. 139

Cell lengths 5.175, 5.175, 5.175 Å; angles 136.06, 136.06, 63.88 degrees
Fractional coordinates of all 4 atoms:
Ni: 0.000 0.000 0.000
Ag: 0.250 0.750 0.500
Ag: 0.750 0.250 0.500
Sb: 0.500 0.500 0.000

# 19
NiAg2Sb: optimized geometry, GGA-PBEsol.

Properties
E_form (uncorrected)   0.69 eV per formula unit
SG   No. 10

Cell lengths 3.109, 4.924, 4.460 Å; angles 90.00, 90.85, 90.00 degrees
Fractional coordinates of all 4 atoms:
Ni: 0.000 0.000 0.000
Ag: 0.247 0.500 0.757
Ag: 0.753 0.500 0.243
Sb: 0.500 0.000 0.500

# 20
NiAgSb2: optimized geometry, GGA-PBEsol.

Properties
E_form (uncorrected)   1.01 eV per formula unit
Energy relative to the lowest polymorph listed for this composition   155 meV per atom
SG   No. 119

Cell lengths 5.523, 5.523, 5.523 Å; angles 137.15, 137.15, 62.21 degrees
Fractional coordinates of all 4 atoms:
Ni: 0.000 0.000 0.000
Ag: 0.250 0.750 0.500
Sb: 0.500 0.500 0.000
Sb: 0.750 0.250 0.500

# 21
NiAgSb2: optimized geometry, GGA-PBEsol.

Properties
E_form (uncorrected)   0.87 eV per formula unit
Energy relative to the lowest polymorph listed for this composition   120 meV per atom
SG   No. 65

Cell lengths 4.860, 4.860, 3.286 Å; angles 90.00, 90.00, 99.20 degrees
Fractional coordinates of all 4 atoms:
Ni: 0.000 0.000 0.000
Ag: 0.500 0.500 0.000
Sb: 0.000 0.500 0.500
Sb: 0.500 0.000 0.500

# 22
NiAgSb2Te: optimized geometry, GGA-PBEsol.

Properties
E_form (uncorrected)   2.00 eV per formula unit
SG   No. 123

Cell lengths 4.849, 4.849, 5.167 Å; angles 90.00, 90.00, 90.00 degrees
Fractional coordinates of all 5 atoms:
Ni: 0.000 0.000 0.000
Ag: 0.500 0.500 0.500
Sb: 0.000 0.500 0.000
Sb: 0.500 0.000 0.000
Te: 0.000 0.000 0.500

# 23
Sc2Ni2Ag: optimized geometry, GGA-PBEsol.

Properties
Energy relative to the lowest polymorph listed for this composition   227 meV per atom
SG   No. 139
E_form   -19.1 kJ/mol of atoms

Cell lengths 5.018, 5.018, 5.018 Å; angles 123.02, 123.02, 84.84 degrees
Fractional coordinates of all 5 atoms:
Sc: 0.250 0.750 0.500
Sc: 0.750 0.250 0.500
Ni: 0.149 0.149 0.000
Ni: 0.851 0.851 0.000
Ag: 0.500 0.500 0.000

# 24
ScNi4Ag: optimized geometry, GGA-PBEsol.

Properties
SG   No. 216
E_form   -31.3 kJ/mol of atoms

Cell lengths 4.755, 4.755, 4.755 Å; angles 60.00, 60.00, 60.00 degrees
Fractional coordinates of all 6 atoms:
Sc: 0.000 0.000 0.000
Ni: 0.126 0.625 0.625
Ni: 0.625 0.126 0.625
Ni: 0.625 0.625 0.126
Ni: 0.625 0.625 0.625
Ag: 0.250 0.250 0.250

# 25
Sc2Ni2Ag: optimized geometry, GGA-PBEsol.

Properties
Energy relative to the lowest polymorph listed for this composition   0 meV per atom
SG   No. 127
E_form   -41.0 kJ/mol of atoms

Cell lengths 6.947, 6.947, 3.276 Å; angles 90.00, 90.00, 90.00 degrees
Fractional coordinates of all 10 atoms:
Sc: 0.171 0.329 0.000
Sc: 0.329 0.829 0.000
Sc: 0.671 0.171 0.000
Sc: 0.829 0.671 0.000
Ni: 0.125 0.625 0.500
Ni: 0.375 0.125 0.500
Ni: 0.625 0.875 0.500
Ni: 0.875 0.375 0.500
Ag: 0.000 0.000 0.500
Ag: 0.500 0.500 0.500

# 26
NiAg2Se: optimized geometry, GGA-PBEsol.

Properties
E_form (uncorrected)   1.05 eV per formula unit
SG   No. 216

Cell lengths 4.466, 4.466, 4.466 Å; angles 60.00, 60.00, 60.00 degrees
Fractional coordinates of all 4 atoms:
Ni: 0.000 0.000 0.000
Ag: 0.250 0.250 0.250
Ag: 0.500 0.500 0.500
Se: 0.750 0.750 0.750

# 27
Ni2AgSe: optimized geometry, GGA-PBEsol.

Properties
E_form (uncorrected)   0.63 eV per formula unit
Energy relative to the lowest polymorph listed for this composition   0 meV per atom
SG   No. 44

Cell lengths 5.078, 5.078, 5.078 Å; angles 144.19, 133.33, 60.19 degrees
Fractional coordinates of all 4 atoms:
Ni: 0.000 0.000 0.000
Ni: 0.739 0.239 0.500
Ag: 0.456 0.456 0.000
Se: 0.193 0.693 0.500

# 28
Ni2AgSe: optimized geometry, GGA-PBEsol.

Properties
E_form (uncorrected)   1.36 eV per formula unit
Energy relative to the lowest polymorph listed for this composition   184 meV per atom
SG   No. 216

Cell lengths 4.270, 4.270, 4.270 Å; angles 60.00, 60.00, 60.00 degrees
Fractional coordinates of all 4 atoms:
Ni: 0.000 0.000 0.000
Ni: 0.250 0.250 0.250
Ag: 0.500 0.500 0.500
Se: 0.750 0.750 0.750

# 29
SiNiAg3: optimized geometry, GGA-PBEsol.

Properties
E_form (uncorrected)   5.19 eV per formula unit
SG   No. 221

Cell lengths 4.631, 4.631, 4.631 Å; angles 90.00, 90.00, 90.00 degrees
Fractional coordinates of all 5 atoms:
Si: 0.000 0.000 0.000
Ni: 0.500 0.500 0.500
Ag: 0.000 0.500 0.500
Ag: 0.500 0.000 0.500
Ag: 0.500 0.500 0.000

# 30
NiAg2SnTe: optimized geometry, GGA-PBEsol.

Properties
E_form (uncorrected)   1.86 eV per formula unit
SG   No. 123

Cell lengths 4.852, 4.852, 4.685 Å; angles 90.00, 90.00, 90.00 degrees
Fractional coordinates of all 5 atoms:
Ni: 0.000 0.000 0.000
Ag: 0.000 0.500 0.000
Ag: 0.500 0.000 0.000
Sn: 0.000 0.000 0.500
Te: 0.500 0.500 0.500